1.
VASP calculation (GGA-PBE) on Ce2PmPuP4 after structural relaxation.

- Energy: -64.03 eV/cell

Unit cell a=7.0547 b=4.0816 c=7.0622 alpha=90.00 beta=109.56 gamma=90.00
Last column: nearest neighbours and their distance in Å.
Space group P2/m (No. 10)
One atom of each set of equivalent atoms:
Ce 0.0000 0.0000 0.0000  6 P 2.86
Ce 0.0000 0.5000 0.5000  6 P 2.90-2.91
Pm 0.5000 0.0000 0.5000  6 P 2.90-2.91
Pu 0.5000 0.5000 0.0000  6 P 2.86-2.87
P 0.2474 0.5000 0.2444  3 Ce 2.86-2.90, 1 Pu 2.87, 2 Pm 2.91
P 0.2525 0.0000 0.7561  2 Pu 2.86, 3 Ce 2.86-2.91, 1 Pm 2.90

=====

2.
VASP calculation (GGA-PBE) on La2Dy5Er after structural relaxation.

- Energy: -74.35 eV/cell

Unit cell a=7.1780 b=14.3578 c=5.0871 alpha=90.00 beta=90.00 gamma=90.00
Last column: nearest neighbours and their distance in Å.
Space group Pbam (No. 55)
One atom of each set of equivalent atoms:
La 0.2482 0.1247 0.0000  2 Er 3.58, 10 Dy 3.59-3.60
Dy 0.0000 0.5000 0.5000  6 Dy 3.59, 2 Er 3.59, 4 La 3.60
Dy 0.0025 0.7502 0.5000  1 Er 3.59, 7 Dy 3.59, 4 La 3.59-3.60
Dy 0.2478 0.3748 0.0000  4 La 3.59, 6 Dy 3.59, 2 Er 3.60
Er 0.0000 0.0000 0.5000  4 La 3.58, 8 Dy 3.59-3.60

=====

| no. | formation energy (eV per atom) |
| --- | --- |
| 1 | -1.43 |
| 2 | 0.03 |